{"formula": "Ce2ScNb", "functional": "GGA-PBE", "state": "optimized geometry", "final_energy_ev_per_cell": -26.76, "e_form_ev_per_atom": 0.38, "sg": "R-3m (166)", "cell": [[3.077, 0.000, 0.000], [1.539, 2.665, 0.000], [1.539, 0.888, 11.576]], "species": ["Ce", "Ce", "Sc", "Nb"], "fractional_positions": [[0.918, 0.918, 0.245], [0.082, 0.082, 0.755], [0.500, 0.500, 0.500], [0.000, 0.000, 0.000]]}